An optimized crystal structure of MnHSe2N, computed with PBE-GGA.

Its density of states at the Fermi level is 0.7687 states/eV per atom. The polymorph energy (0 for the lowest one) is 0 meV per atom. The value obtained for the energy is -24.18 eV/cell. As for the total magnetization: 0.6 μB per formula unit.

abc: 4.8565 4.8565 3.4234
angles: 90.00 90.00 90.00
With the nearest neighbours (Å) after each atom.
Space group P4/mmm (No. 123)
One atom of each set of equivalent atoms:
Mn 0.0000 0.0000 0.0000 [1 per cell]  2 N 1.71
H 0.5000 0.5000 0.5000 [1 per cell]  8 Se 2.97
Se 0.0000 0.5000 0.0000 [2 per cell]  2 Mn 2.43
N 0.0000 0.0000 0.5000 [1 per cell]  2 Mn 1.71